A plane-wave DFT calculation with PBE was carried out for crystalline Y4SnSbSe2 at its relaxed geometry.

**Calculated volume**: 218 Å³ per cell
**Formation energy from raw total energies**: -1.3730 eV per atom

Cell lengths 7.3587, 4.2601, 7.3759 Å; angles 90.00, 109.47, 90.00 degrees
Space group P2/m (No. 10)
One atom of each set of equivalent atoms:
1 Y 0.2434 0.0000 0.2450 (multiplicity 2)
2 Y 0.2439 0.5000 0.7503 (multiplicity 2)
3 Sn 0.5000 0.0000 0.0000 (multiplicity 1)
4 Sb 0.5000 0.5000 0.5000 (multiplicity 1)
5 Se 0.0000 0.0000 0.5000 (multiplicity 1)
6 Se 0.0000 0.5000 0.0000 (multiplicity 1)



A plane-wave DFT calculation with PBE was carried out for crystalline Y4SnSb2Se at its relaxed geometry.

**Calculated volume**: 229 Å³ per cell
**Formation energy from raw total energies**: -1.2069 eV per atom

Cell lengths 7.5004, 4.3105, 7.5163 Å; angles 90.00, 109.26, 90.00 degrees
Space group P2/m (No. 10)
One atom of each set of equivalent atoms:
1 Y 0.2448 0.0000 0.2481 (multiplicity 2)
2 Y 0.2457 0.5000 0.7523 (multiplicity 2)
3 Sn 0.0000 0.0000 0.5000 (multiplicity 1)
4 Sb 0.5000 0.0000 0.0000 (multiplicity 1)
5 Sb 0.5000 0.5000 0.5000 (multiplicity 1)
6 Se 0.0000 0.5000 0.0000 (multiplicity 1)